Record 1
Entry from Alexandria: a relaxed structure of CdFeSe2 (PBE-GGA).

CIF file:
```
data_CdFeSe2
_chemical_formula_sum 'Cd1 Fe1 Se2'
_symmetry_space_group_name_H-M 'P m m m'
_symmetry_Int_Tables_number 47
_symmetry_space_group_name_Hall '-P 2 2'
_cell_length_a 2.954
_cell_length_b 3.033
_cell_length_c 9.242
_cell_angle_alpha 90.00
_cell_angle_beta 90.00
_cell_angle_gamma 90.00
loop_
_atom_site_label
_atom_site_fract_x
_atom_site_fract_y
_atom_site_fract_z
Cd1 0.000 0.000 0.000
Fe1 0.000 0.000 0.500
Se1 0.500 0.500 0.335
```

As for the density of states at the Fermi level: 2.65 states/eV/f.u. The raw formation energy is 8.2 kJ/mol of atoms.

---

Record 2
Entry from Alexandria: a relaxed structure of CdFeSe2 (PBE-GGA).

CIF file:
```
data_CdFeSe2
_chemical_formula_sum 'Cd2 Fe2 Se4'
_symmetry_space_group_name_H-M 'C 1 m 1'
_symmetry_Int_Tables_number 8
_symmetry_space_group_name_Hall 'C -2y'
_cell_length_a 9.831
_cell_length_b 3.504
_cell_length_c 5.362
_cell_angle_alpha 90.00
_cell_angle_beta 101.43
_cell_angle_gamma 90.00
loop_
_atom_site_label
_atom_site_fract_x
_atom_site_fract_y
_atom_site_fract_z
Cd1 0.000 0.000 0.000
Fe1 0.086 0.000 0.550
Se1 0.209 0.500 0.802
Se2 0.429 0.000 0.382
```

As for the density of states at the Fermi level: 2.82 states/eV/f.u. The raw formation energy is -10.8 kJ/mol of atoms.

---

Record 3
Entry from Alexandria: a relaxed structure of CdFeSe2 (PBE-GGA).

CIF file:
```
data_CdFeSe2
_chemical_formula_sum 'Cd3 Fe3 Se6'
_symmetry_space_group_name_H-M 'R -3 m'
_symmetry_Int_Tables_number 166
_symmetry_space_group_name_Hall '-R 3 2"'
_cell_length_a 3.3282
_cell_length_b 3.3282
_cell_length_c 27.1462
_cell_angle_alpha 90.00
_cell_angle_beta 90.00
_cell_angle_gamma 120.00
loop_
_atom_site_label
_atom_site_fract_x
_atom_site_fract_y
_atom_site_fract_z
Cd1 0.0000 0.0000 0.0000
Fe1 0.0000 0.0000 0.5000
Se1 0.0000 0.0000 0.1142
```

As for the density of states at the Fermi level: 3.26 states/eV/f.u. The raw formation energy is -15.2 kJ/mol of atoms.

---

Record 4
Entry from Alexandria: a relaxed structure of CdFeSe2 (PBE-GGA).

CIF file:
```
data_CdFeSe2
_chemical_formula_sum 'Cd4 Fe4 Se8'
_symmetry_space_group_name_H-M 'I -4 2 d'
_symmetry_Int_Tables_number 122
_symmetry_space_group_name_Hall 'I -4 2bw'
_cell_length_a 5.897
_cell_length_b 5.897
_cell_length_c 10.822
_cell_angle_alpha 90.00
_cell_angle_beta 90.00
_cell_angle_gamma 90.00
loop_
_atom_site_label
_atom_site_fract_x
_atom_site_fract_y
_atom_site_fract_z
Cd1 0.000 0.000 0.000
Fe1 0.000 0.000 0.500
Se1 0.188 0.250 0.625
```

As for the density of states at the Fermi level: 5.31 states/eV/f.u. The raw formation energy is -11.5 kJ/mol of atoms.